No. 1
First-principles (PBE) data for V4Te9Pd2 after structural relaxation, as listed in Alexandria via LeMat-Bulk.

Cell lengths 6.9625, 6.9544, 17.6055 Å; angles 90.01, 90.05, 60.04 degrees
With the nearest neighbours (Å) after each atom.
Element x y z (fractional)
Pd  0.0002  0.9999  0.1599  6 Te 2.76-2.81
Te  0.6670  0.9998  0.7498  2 V 2.69, 2 Pd 2.81
V  0.3326  0.3337  0.6727  6 Te 2.69-2.75
Te  0.3467  0.0004  0.5845  3 V 2.71-2.75, 1 Pd 2.76
Pd  0.9998  0.0001  0.8401  6 Te 2.76-2.81
V  0.3350  0.3329  0.4997  6 Te 2.71-2.72
Te  0.3473  0.9995  0.9154  3 V 2.72-2.75, 1 Pd 2.76
Te  0.9991  0.6534  0.9159  3 V 2.72-2.75, 1 Pd 2.76
Te  0.9990  0.3476  0.4161  3 V 2.72-2.75, 1 Pd 2.76
V  0.6669  0.6666  0.8273  6 Te 2.69-2.75
V  0.6650  0.6671  0.5003  6 Te 2.71-2.72
Pd  0.9995  0.0005  0.3401  6 Te 2.76-2.81
Te  0.3329  0.6669  0.7502  2 V 2.69, 2 Pd 2.81
Pd  0.0005  0.9995  0.6599  6 Te 2.76-2.81
V  0.6660  0.6671  0.0003  6 Te 2.71-2.72
Te  0.3468  0.6528  0.0845  3 V 2.71-2.75, 1 Pd 2.76
Te  0.0001  0.6665  0.2499  2 V 2.69, 2 Pd 2.81
Te  0.6671  0.3331  0.2498  2 V 2.69, 2 Pd 2.81
Te  0.6532  0.3472  0.9155  3 V 2.71-2.75, 1 Pd 2.76
Te  0.0009  0.3466  0.0841  3 V 2.72-2.75, 1 Pd 2.76
Te  0.3330  0.0002  0.2502  2 V 2.69, 2 Pd 2.81
Te  0.0010  0.6524  0.5839  3 V 2.72-2.75, 1 Pd 2.76
V  0.3331  0.3334  0.1727  6 Te 2.69-2.75
V  0.6674  0.6663  0.3273  6 Te 2.69-2.75
Te  0.6527  0.0005  0.0846  3 V 2.72-2.75, 1 Pd 2.76
Te  0.9999  0.3335  0.7501  2 V 2.69, 2 Pd 2.81
V  0.3340  0.3329  0.9997  6 Te 2.71-2.72
Te  0.3472  0.6532  0.4151  3 V 2.71-2.75, 1 Pd 2.76
Te  0.6533  0.9996  0.4155  3 V 2.71-2.75, 1 Pd 2.76
Te  0.6528  0.3468  0.5849  3 V 2.71-2.75, 1 Pd 2.76

## Properties
VASP energy, eV/atom: -5.291
Raw formation energy, meV/atom: -282.1
N(E_F), states/eV/f.u.: 12.5

No. 2
First-principles (PBE) data for AcNpAs2 after structural relaxation, as listed in Alexandria via LeMat-Bulk.

Cell lengths 5.2443, 5.2443, 5.2443 Å; angles 60.00, 60.00, 60.00 degrees
With the nearest neighbours (Å) after each atom.
Element x y z (fractional)
Np  0.5000  0.5000  0.5000  8 As 3.21
As  0.7500  0.7500  0.7500  4 Np 3.21, 4 Ac 3.21
As  0.2500  0.2500  0.2500  4 Np 3.21, 4 Ac 3.21
Ac  0.0000  0.0000  0.0000  8 As 3.21

## Properties
VASP energy, eV/atom: -7.271
Energy of formation from the pure elements, meV/atom: -684
N(E_F), states/eV/f.u.: 11.8
Polymorph energy (0 for the lowest one), eV/atom: 0.3419

No. 3
First-principles (PBE) data for RbHgPtBr6 after structural relaxation, as listed in Alexandria via LeMat-Bulk.

Cell lengths 7.0053, 7.0042, 7.6205 Å; angles 88.02, 91.95, 64.47 degrees
With the nearest neighbours (Å) after each atom.
Element x y z (fractional)
Br  0.3493  0.0272  0.6896  1 Pt 2.50
Br  0.6083  0.0286  0.2826  1 Hg 2.73, 1 Pt 2.82
Br  0.0274  0.3492  0.3104  1 Pt 2.50
Pt  0.3331  0.3332  0.5000  4 Br 2.49-2.50
Br  0.0284  0.6081  0.7174  1 Hg 2.73, 1 Pt 2.82
Rb  0.0008  0.0009  0.9999  6 Br 3.49-3.51
Br  0.3515  0.6187  0.3073  1 Pt 2.49
Hg  0.6826  0.6826  0.4999  6 Br 2.73-3.00
Br  0.6184  0.3516  0.6927  1 Pt 2.49

## Properties
VASP energy, eV/atom: -2.531
Raw formation energy, meV/atom: -603.3

No. 4
First-principles (PBE) data for CeV2N4 after structural relaxation, as listed in Alexandria via LeMat-Bulk.

Cell lengths 3.0631, 5.1129, 9.8832 Å; angles 90.00, 90.00, 107.43 degrees
With the nearest neighbours (Å) after each atom.
Element x y z (fractional)
N  0.5000  0.0000  0.0000  4 V 2.05
N  0.2355  0.4709  0.6076  3 V 1.99-2.10
V  0.8757  0.7514  0.9385  6 N 1.92-2.10
V  0.8757  0.7514  0.5615  6 N 1.92-2.10
N  0.5000  0.0000  0.5000  4 V 2.05
N  0.7645  0.5291  0.3924  3 V 1.99-2.10
Ce  0.3823  0.7647  0.2500  6 N 2.38-2.44
N  0.7645  0.5291  0.1076  3 V 1.99-2.10
N  0.0767  0.1534  0.2500  2 V 1.92
N  0.2355  0.4709  0.8924  3 V 1.99-2.10
V  0.1243  0.2486  0.4385  6 N 1.92-2.10
V  0.1243  0.2486  0.0615  6 N 1.92-2.10
N  0.9233  0.8466  0.7500  2 V 1.92
Ce  0.6177  0.2353  0.7500  6 N 2.38-2.44

## Properties
VASP energy, eV/atom: -9.265
Raw formation energy, meV/atom: -1054.5
N(E_F), states/eV/f.u.: 2.8

No. 5
First-principles (PBE) data for LaYCu4 after structural relaxation, as listed in Alexandria via LeMat-Bulk.

Cell lengths 4.3020, 5.6763, 5.6763 Å; angles 81.58, 67.51, 67.51 degrees
With the nearest neighbours (Å) after each atom.
Element x y z (fractional)
Cu  0.2407  0.4260  0.0924  3 Cu 2.47-2.48
La  0.0000  0.0000  0.0000  12 Cu 3.05-3.15
Cu  0.7593  0.9076  0.5740  3 Cu 2.47-2.48
Cu  0.7593  0.5740  0.9076  3 Cu 2.47-2.48
Cu  0.2407  0.0924  0.4260  3 Cu 2.47-2.48
Y  0.5000  0.5000  0.5000  12 Cu 3.05-3.13

## Properties
VASP energy, eV/atom: -4.859
Energy of formation from the pure elements, meV/atom: -229
N(E_F), states/eV/f.u.: 4.6
Polymorph energy (0 for the lowest one), eV/atom: 0.0000

No. 6
First-principles (PBE) data for SbTeRh2 after structural relaxation, as listed in Alexandria via LeMat-Bulk.

Cell lengths 5.0369, 3.7559, 4.6596 Å; angles 74.60, 90.00, 90.00 degrees
With the nearest neighbours (Å) after each atom.
Element x y z (fractional)
Sb  0.0000  0.6121  0.6050  5 Rh 2.60-2.75
Te  0.5000  0.1383  0.1411  5 Rh 2.57-2.78
Rh  0.0000  0.9742  0.0090  3 Sb 2.60-2.75, 2 Te 2.70
Rh  0.5000  0.7754  0.7449  3 Te 2.57-2.78, 2 Sb 2.71

## Properties
VASP energy, eV/atom: -5.697
Raw formation energy, meV/atom: -205.2
N(E_F), states/eV/f.u.: 2.5

No. 7
First-principles (PBE) data for Cd2PW after structural relaxation, as listed in Alexandria via LeMat-Bulk.

Cell lengths 3.1647, 3.1647, 7.4039 Å; angles 90.00, 90.00, 90.00 degrees
With the nearest neighbours (Å) after each atom.
Element x y z (fractional)
W  0.5000  0.5000  0.6927  4 P 2.45
Cd  0.5000  0.5000  0.2741  4 P 3.06, 1 W 3.10, 8 Cd 3.14-3.16
P  0.0000  0.0000  0.5570  4 W 2.45
Cd  0.0000  0.0000  0.9762  4 W 3.07, 1 P 3.10, 8 Cd 3.14-3.16

## Properties
VASP energy, eV/atom: -4.928
Energy of formation from the pure elements, meV/atom: 120
N(E_F), states/eV/f.u.: 2.4
Polymorph energy (0 for the lowest one), eV/atom: 0.0000

No. 8
First-principles (PBE) data for TaBiSN2 after structural relaxation, as listed in Alexandria via LeMat-Bulk.

Cell lengths 4.0938, 4.0938, 4.9871 Å; angles 90.00, 90.00, 90.00 degrees
With the nearest neighbours (Å) after each atom.
Element x y z (fractional)
S  0.0000  0.0000  0.5000  2 Ta 2.49
Bi  0.5000  0.5000  0.5000  4 S 2.89, 8 N 3.23
N  0.5000  0.0000  0.0000  2 Ta 2.05
N  0.0000  0.5000  0.0000  2 Ta 2.05
Ta  0.0000  0.0000  0.0000  4 N 2.05

## Properties
VASP energy, eV/atom: -7.256
Raw formation energy, meV/atom: 46.2
N(E_F), states/eV/f.u.: 2.4
Polymorph energy (0 for the lowest one), eV/atom: 0.0000